# SrUBr2F6, optimized geometry, DFT PBE
# Uncorrected formation energy (eV per atom): -2.891
# Energy (eV per atom): -5.645
data_SrUBr2F6
_chemical_formula_sum 'Sr4 U4 Br8 F24'
_cell_length_a 9.336
_cell_length_b 9.336
_cell_length_c 9.336
_cell_angle_alpha 90.00
_cell_angle_beta 90.00
_cell_angle_gamma 90.00
_space_group_name_H-M_alt 'F m -3 m'
_space_group_IT_number 225
_space_group_name_Hall '-F 4 2 3'
loop_
_atom_site_label
_atom_site_type_symbol
_atom_site_fract_x
_atom_site_fract_y
_atom_site_fract_z
Sr1 Sr 0.000 0.000 0.000
U1 U 0.000 0.000 0.500
Br1 Br 0.250 0.250 0.250
F1 F 0.000 0.000 0.276